[1]
Density functional theory data (PBE) for a geometry-optimized Ti2HgW structure.

The space group is P4/mmm (No. 123) and the conventional cell measures 3.266, 3.266 and 6.546 Å, with angles of 90.00, 90.00 and 90.00 degrees. The distinct sites, in fractional coordinates, are Ti at (0.000, 0.000, 0.220), Hg at (0.500, 0.500, 0.500) and W at (0.500, 0.500, 0.000).

As for the formation enthalpy at 0 K: -0.35 eV/f.u. The calculation puts the density of states at the Fermi level at 3.3 states/eV per cell. As for the calculated density: 11.4 g/cm³. The raw total energy comes out at -29.39 eV per cell.

***

[2]
Density functional theory data (PBE) for a geometry-optimized GdPaGaCu structure.

The space group is F-43m (No. 216) and the conventional cell measures 7.074, 7.074 and 7.074 Å, with angles of 90.00, 90.00 and 90.00 degrees. The distinct sites, in fractional coordinates, are Gd at (0.000, 0.000, 0.000), Pa at (0.000, 0.000, 0.500), Ga at (0.250, 0.250, 0.250) and Cu at (0.250, 0.250, 0.750).

As for the formation enthalpy at 0 K: -0.40 eV/f.u. The calculation puts the density of states at the Fermi level at 26.4 states/eV per cell. As for the calculated density: 9.8 g/cm³. The raw total energy comes out at -124.38 eV per cell.

***

[3]
Density functional theory data (PBE) for a geometry-optimized ZnMoSe3 structure.

The space group is Pm-3m (No. 221) and the conventional cell measures 4.865, 4.865 and 4.865 Å, with angles of 90.00, 90.00 and 90.00 degrees. The distinct sites, in fractional coordinates, are Zn at (0.000, 0.000, 0.000), Mo at (0.500, 0.500, 0.500) and Se at (0.000, 0.000, 0.500).

The uncorrected formation energy comes out at 80 kJ per mole of atoms. The calculation puts the density of states at the Fermi level at 4.1 states/eV per cell. As for the calculated density: 5.7 g/cm³. The relative energy among the computed polymorphs is 610 meV/atom. The raw total energy comes out at -18.41 eV per cell.

***

[4]
Density functional theory data (PBE) for a geometry-optimized Na3MnRh3S8 structure.

The space group is R-3m (No. 166, hexagonal axes) and the conventional cell measures 7.1415, 7.1415 and 19.4368 Å, with angles of 90.00, 90.00 and 120.00 degrees. The distinct sites, in fractional coordinates, are Na at (0.0000, 0.5000, 0.0000), Mn at (0.0000, 0.0000, 0.5000), Rh at (0.0000, 0.5000, 0.5000), S at (0.0000, 0.0000, 0.2291) and S at (0.0037, 0.5018, 0.2296).

The uncorrected formation energy comes out at -68 kJ per mole of atoms. As for the calculated density: 4.0 g/cm³. The raw total energy comes out at -236.45 eV per cell.

***

[5]
Density functional theory data (PBE) for a geometry-optimized In2PdBr2 structure.

The space group is P4/mbm (No. 127) and the conventional cell measures 7.192, 7.192 and 5.452 Å, with angles of 90.00, 90.00 and 90.00 degrees. The distinct sites, in fractional coordinates, are In at (0.172, 0.328, 0.000), Pd at (0.000, 0.000, 0.500) and Br at (0.181, 0.681, 0.500).

The uncorrected formation energy comes out at -17 kJ per mole of atoms. The calculation puts the density of states at the Fermi level at 1.1 states/eV per cell. As for the calculated density: 5.8 g/cm³. The relative energy among the computed polymorphs is 0 meV/atom. The raw total energy comes out at -29.78 eV per cell.

***

[6]
Density functional theory data (PBE) for a geometry-optimized Mg2In4Pb3 structure.

The space group is P-1 (No. 2) and the conventional cell measures 4.988, 7.194 and 7.571 Å, with angles of 104.67, 90.43 and 109.84 degrees. The distinct sites, in fractional coordinates, are Mg at (0.223, 0.445, 0.329), In at (0.123, 0.239, 0.661), In at (0.329, 0.658, 0.013), Pb at (0.000, 0.000, 0.000) and Pb at (0.431, 0.867, 0.662).

As for the formation enthalpy at 0 K: -0.10 eV/f.u. The calculation puts the density of states at the Fermi level at 3.2 states/eV per cell. As for the calculated density: 7.6 g/cm³. The raw total energy comes out at -25.37 eV per cell.

***

[7]
Density functional theory data (PBE) for a geometry-optimized KCdPt2 structure.

The space group is I-42d (No. 122) and the conventional cell measures 5.019, 5.019 and 18.841 Å, with angles of 90.00, 90.00 and 90.00 degrees. The distinct sites, in fractional coordinates, are K at (0.000, 0.000, 0.000), Cd at (0.000, 0.000, 0.500) and Pt at (0.055, 0.250, 0.625).

As for the formation enthalpy at 0 K: 0.16 eV/f.u. The calculation puts the density of states at the Fermi level at 9.3 states/eV per cell. As for the calculated density: 7.6 g/cm³. The relative energy among the computed polymorphs is 252 meV/atom. The raw total energy comes out at -55.75 eV per cell.

***

[8]
Density functional theory data (PBE) for a geometry-optimized Rb2HfTa structure.

The space group is I-42d (No. 122) and the conventional cell measures 13.541, 13.541 and 5.077 Å, with angles of 90.00, 90.00 and 90.00 degrees. The distinct sites, in fractional coordinates, are Rb at (0.093, 0.250, 0.125), Hf at (0.000, 0.000, 0.500) and Ta at (0.000, 0.000, 0.000).

As for the formation enthalpy at 0 K: 7.16 eV/f.u. The calculation puts the density of states at the Fermi level at 25.9 states/eV per cell. As for the calculated density: 3.8 g/cm³. The relative energy among the computed polymorphs is 0 meV/atom. The raw total energy comes out at -66.34 eV per cell.

***

[9]
Density functional theory data (PBE) for a geometry-optimized RbNa3Cr structure.

The space group is Pm-3m (No. 221) and the conventional cell measures 6.404, 6.404 and 6.404 Å, with angles of 90.00, 90.00 and 90.00 degrees. The distinct sites, in fractional coordinates, are Rb at (0.000, 0.000, 0.000), Na at (0.000, 0.000, 0.500) and Cr at (0.500, 0.500, 0.500).

As for the formation enthalpy at 0 K: 5.33 eV/f.u. The calculation puts the density of states at the Fermi level at 3.9 states/eV per cell. As for the calculated density: 1.3 g/cm³. The relative energy among the computed polymorphs is 530 meV/atom. The raw total energy comes out at -9.22 eV per cell.

***

[10]
Density functional theory data (PBE) for a geometry-optimized NdEr8Tl2 structure.

The space group is C2/m (No. 12) and the conventional cell measures 8.803, 15.052 and 5.593 Å, with angles of 90.00, 113.46 and 90.00 degrees. The distinct sites, in fractional coordinates, are Nd at (0.000, 0.000, 0.000), Er at (0.000, 0.220, 0.000), Er at (0.094, 0.500, 0.796), Er at (0.209, 0.114, 0.621) and Tl at (0.000, 0.306, 0.500).

As for the formation enthalpy at 0 K: 0.07 eV/f.u. The calculation puts the density of states at the Fermi level at 28.2 states/eV per cell. As for the calculated density: 9.2 g/cm³. The raw total energy comes out at -91.88 eV per cell.

***

[11]
Density functional theory data (PBE) for a geometry-optimized TmThRu structure.

The space group is I4mm (No. 107) and the conventional cell measures 3.413, 3.413 and 12.999 Å, with angles of 90.00, 90.00 and 90.00 degrees. The distinct sites, in fractional coordinates, are Tm at (0.000, 0.000, 0.000), Th at (0.000, 0.000, 0.264) and Ru at (0.000, 0.000, 0.629).

As for the formation enthalpy at 0 K: -0.83 eV/f.u. The calculation puts the density of states at the Fermi level at 8.3 states/eV per cell. As for the calculated density: 11.0 g/cm³. The relative energy among the computed polymorphs is 75 meV/atom. The raw total energy comes out at -43.99 eV per cell.

***

[12]
Density functional theory data (PBE) for a geometry-optimized Fe2SbOs structure.

The space group is R3m (No. 160, hexagonal axes) and the conventional cell measures 2.9591, 2.9591 and 24.2928 Å, with angles of 90.00, 90.00 and 120.00 degrees. The distinct sites, in fractional coordinates, are Fe at (0.0000, 0.0000, 0.0000), Fe at (0.0000, 0.0000, 0.2597), Sb at (0.0000, 0.0000, 0.5051) and Os at (0.0000, 0.0000, 0.7464).

The uncorrected formation energy comes out at 51 kJ per mole of atoms. The calculation puts the density of states at the Fermi level at 7.9 states/eV per cell. As for the calculated density: 11.5 g/cm³. The raw total energy comes out at -90.50 eV per cell.

***

[13]
Density functional theory data (PBE) for a geometry-optimized Ca2ZrZn structure.

The space group is F-43m (No. 216) and the conventional cell measures 7.469, 7.469 and 7.469 Å, with angles of 90.00, 90.00 and 90.00 degrees. The distinct sites, in fractional coordinates, are Ca at (0.000, 0.000, 0.000), Ca at (0.250, 0.250, 0.250), Zr at (0.000, 0.000, 0.500) and Zn at (0.250, 0.250, 0.750).

As for the formation enthalpy at 0 K: 1.23 eV/f.u. The calculation puts the density of states at the Fermi level at 19.9 states/eV per cell. As for the calculated density: 3.8 g/cm³. The raw total energy comes out at -50.36 eV per cell.

***

[14]
Density functional theory data (PBE) for a geometry-optimized RbMg2VTc structure.

The space group is P4/mmm (No. 123) and the conventional cell measures 5.363, 5.363 and 5.632 Å, with angles of 90.00, 90.00 and 90.00 degrees. The distinct sites, in fractional coordinates, are Rb at (0.000, 0.000, 0.000), Mg at (0.000, 0.500, 0.500), V at (0.000, 0.000, 0.500) and Tc at (0.500, 0.500, 0.000).

As for the formation enthalpy at 0 K: 9.12 eV/f.u. The calculation puts the density of states at the Fermi level at 6.9 states/eV per cell. As for the calculated density: 2.9 g/cm³. The raw total energy comes out at -14.52 eV per cell.

***

[15]
Density functional theory data (PBE) for a geometry-optimized Rb3ReTe structure.

The space group is Pm-3m (No. 221) and the conventional cell measures 6.922, 6.922 and 6.922 Å, with angles of 90.00, 90.00 and 90.00 degrees. The distinct sites, in fractional coordinates, are Rb at (0.000, 0.000, 0.500), Re at (0.500, 0.500, 0.500) and Te at (0.000, 0.000, 0.000).

The uncorrected formation energy comes out at 82 kJ per mole of atoms. The calculation puts the density of states at the Fermi level at 9.7 states/eV per cell. As for the calculated density: 2.9 g/cm³. The relative energy among the computed polymorphs is 0 meV/atom. The raw total energy comes out at -14.25 eV per cell.